# 1
First-principles (PBE) data for a geometry-optimized LaPPb structure, as listed in Alexandria.

a b c (Å): 5.419 5.419 6.509
angles (deg): 90.00 90.00 120.00
Fractional coordinates of all 6 atoms:
La: 0.333 0.667 0.250
La: 0.667 0.333 0.750
P: 0.000 0.000 0.000
P: 0.000 0.000 0.500
Pb: 0.333 0.667 0.750
Pb: 0.667 0.333 0.250

M_tot	0.0	μB per formula unit
Fermi-level density of states	1.11	states/eV/atom
final energy	-28.476	eV/cell



# 2
First-principles (PBE) data for a geometry-optimized LaPPb structure, as listed in Alexandria.

a b c (Å): 3.738 3.738 11.829
angles (deg): 90.00 90.00 90.00
Fractional coordinates of all 6 atoms:
La: 0.000 0.000 0.000
La: 0.500 0.500 0.500
P: 0.000 0.000 0.613
P: 0.500 0.500 0.113
Pb: 0.000 0.000 0.269
Pb: 0.500 0.500 0.769

M_tot	0.0	μB per formula unit
Fermi-level density of states	0.31	states/eV/atom
final energy	-31.163	eV/cell



# 3
First-principles (PBE) data for a geometry-optimized La2P5Pb structure, as listed in Alexandria.

a b c (Å): 7.896 11.935 3.985
angles (deg): 90.00 90.00 90.00
Fractional coordinates of all 16 atoms:
La: 0.140 0.187 0.000
La: 0.360 0.687 0.000
La: 0.640 0.313 0.000
La: 0.860 0.813 0.000
P: 0.000 0.000 0.500
P: 0.086 0.709 0.500
P: 0.189 0.938 0.000
P: 0.311 0.438 0.000
P: 0.414 0.209 0.500
P: 0.500 0.500 0.500
P: 0.586 0.791 0.500
P: 0.689 0.562 0.000
P: 0.811 0.062 0.000
P: 0.914 0.291 0.500
Pb: 0.000 0.500 0.500
Pb: 0.500 0.000 0.500

M_tot	0.0	μB per formula unit
Fermi-level density of states	0.44	states/eV/atom
final energy	-90.175	eV/cell



# 4
First-principles (PBE) data for a geometry-optimized LaP2Pb structure, as listed in Alexandria.

a b c (Å): 7.402 4.282 7.197
angles (deg): 90.00 109.85 90.00
Fractional coordinates of all 8 atoms:
La: 0.000 0.000 0.000
La: 0.500 0.500 0.000
P: 0.246 0.500 0.240
P: 0.254 0.000 0.760
P: 0.746 0.000 0.240
P: 0.754 0.500 0.760
Pb: 0.000 0.500 0.500
Pb: 0.500 0.000 0.500

M_tot	0.0	μB per formula unit
Fermi-level density of states	1.03	states/eV/atom
final energy	-43.477	eV/cell



# 5
First-principles (PBE) data for a geometry-optimized La4P3Pb4 structure, as listed in Alexandria.

a b c (Å): 7.665 7.665 7.665
angles (deg): 110.23 110.23 110.23
Fractional coordinates of all 11 atoms:
La: 0.000 0.000 0.000
La: 0.059 0.592 0.592
La: 0.592 0.059 0.592
La: 0.592 0.592 0.059
P: 0.528 0.811 0.811
P: 0.811 0.528 0.811
P: 0.811 0.811 0.528
Pb: 0.127 0.127 0.545
Pb: 0.127 0.545 0.127
Pb: 0.456 0.456 0.456
Pb: 0.545 0.127 0.127

M_tot	0.0	μB per formula unit
Fermi-level density of states	0.76	states/eV/atom
final energy	-58.031	eV/cell



# 6
First-principles (PBE) data for a geometry-optimized La2P2Pb structure, as listed in Alexandria.

a b c (Å): 5.785 5.785 8.334
angles (deg): 90.00 90.00 90.00
Fractional coordinates of all 10 atoms:
La: 0.000 0.500 0.250
La: 0.000 0.500 0.750
La: 0.500 0.000 0.250
La: 0.500 0.000 0.750
P: 0.000 0.000 0.148
P: 0.000 0.000 0.852
P: 0.500 0.500 0.352
P: 0.500 0.500 0.648
Pb: 0.000 0.000 0.500
Pb: 0.500 0.500 0.000

M_tot	0.5	μB per formula unit
Fermi-level density of states	0.75	states/eV/atom
final energy	-56.318	eV/cell



# 7
First-principles (PBE) data for a geometry-optimized LaP2Pb structure, as listed in Alexandria.

a b c (Å): 6.901 6.995 3.836
angles (deg): 90.00 90.00 90.00
Fractional coordinates of all 8 atoms:
La: 0.000 0.000 0.000
La: 0.500 0.500 0.000
P: 0.250 0.250 0.500
P: 0.250 0.750 0.500
P: 0.750 0.250 0.500
P: 0.750 0.750 0.500
Pb: 0.000 0.500 0.000
Pb: 0.500 0.000 0.000

M_tot	0.0	μB per formula unit
Fermi-level density of states	0.43	states/eV/atom
final energy	-43.252	eV/cell



# 8
First-principles (PBE) data for a geometry-optimized La5PPb3 structure, as listed in Alexandria.

a b c (Å): 9.686 9.686 7.265
angles (deg): 90.00 90.00 120.00
Fractional coordinates of all 18 atoms:
La: 0.000 0.237 0.250
La: 0.000 0.763 0.750
La: 0.237 0.000 0.250
La: 0.237 0.237 0.750
La: 0.333 0.667 0.000
La: 0.333 0.667 0.500
La: 0.667 0.333 0.000
La: 0.667 0.333 0.500
La: 0.763 0.000 0.750
La: 0.763 0.763 0.250
P: 0.000 0.000 0.000
P: 0.000 0.000 0.500
Pb: 0.000 0.402 0.750
Pb: 0.000 0.598 0.250
Pb: 0.402 0.000 0.750
Pb: 0.402 0.402 0.250
Pb: 0.598 0.000 0.250
Pb: 0.598 0.598 0.750

M_tot	0.0	μB per formula unit
Fermi-level density of states	0.49	states/eV/atom
final energy	-97.997	eV/cell



Here are the calculated formation energy numbers, same order: -0.19 -1.54 -4.48 -2.28 -7.26 -3.78 -2.17 -7.83 (eV/f.u.).